[1]
Material: BeFeCo2
Method: DFT, GGA-PBEsol
State: relaxed

Values from the calculation:
The value obtained for the formation energy is -0.091 eV per atom.

a = 2.7161 Å, b = 3.7618 Å, c = 7.6005 Å
α = 90.00°, β = 90.00°, γ = 90.00°
Space group Imm2 (No. 44)
Unique sites:
1 Be 0.0000 0.0000 0.0000
2 Fe 0.0000 0.5000 0.2519
3 Co 0.0000 0.0000 0.4967
4 Co 0.0000 0.5000 0.7397



[2]
Material: ScNiPb
Method: DFT, GGA-PBEsol
State: relaxed

Values from the calculation:
The value obtained for the formation energy is -0.078 eV per atom.

a = 3.6373 Å, b = 3.6373 Å, c = 5.3768 Å
α = 90.00°, β = 90.00°, γ = 120.00°
Space group P3m1 (No. 156)
Unique sites:
1 Sc 0.0000 0.0000 0.0000
2 Ni 0.3333 0.6667 0.7402
3 Pb 0.6667 0.3333 0.4451



[3]
Material: HoMn6Sn6
Method: DFT, GGA-PBEsol
State: relaxed

Values from the calculation:
The value obtained for the formation energy is -0.133 eV per atom.

a = 5.3607 Å, b = 5.3607 Å, c = 8.8159 Å
α = 90.00°, β = 90.00°, γ = 120.00°
Space group P6/mmm (No. 191)
Unique sites:
1 Ho 0.0000 0.0000 0.0000
2 Mn 0.0000 0.5000 0.2481
3 Sn 0.0000 0.0000 0.3332
4 Sn 0.3333 0.6667 0.0000
5 Sn 0.3333 0.6667 0.5000



[4]
Material: BaAg3Os
Method: DFT, GGA-PBEsol
State: relaxed

Values from the calculation:
The value obtained for the formation energy is 2.548 eV per atom.

a = 5.4626 Å, b = 5.4626 Å, c = 5.4626 Å
α = 90.00°, β = 90.00°, γ = 90.00°
Space group Pm-3m (No. 221)
Unique sites:
1 Ba 0.0000 0.0000 0.0000
2 Ag 0.0000 0.0000 0.5000
3 Os 0.5000 0.5000 0.5000



[5]
Material: NbAg3O
Method: DFT, GGA-PBEsol
State: relaxed

Values from the calculation:
The uncorrected formation energy is 15.72 kcal/mol of atoms.

a = 4.3620 Å, b = 4.3620 Å, c = 4.3620 Å
α = 90.00°, β = 90.00°, γ = 90.00°
Space group Pm-3m (No. 221)
Unique sites:
1 Nb 0.0000 0.0000 0.0000
2 Ag 0.0000 0.5000 0.5000
3 O 0.5000 0.5000 0.5000



[6]
Material: LiZn2Ag
Method: DFT, GGA-PBEsol
State: relaxed

Values from the calculation:
The value obtained for the formation energy is -0.124 eV per atom.

a = 2.9298 Å, b = 2.9298 Å, c = 6.7308 Å
α = 90.00°, β = 90.00°, γ = 90.00°
Space group P4mm (No. 99)
Unique sites:
1 Li 0.0000 0.0000 0.0000
2 Zn 0.0000 0.0000 0.4827
3 Zn 0.5000 0.5000 0.2398
4 Ag 0.5000 0.5000 0.7433



[7]
Material: AgAu2
Method: DFT, GGA-PBEsol
State: relaxed

Values from the calculation:
As for the energy above the lowest structure with this stoichiometry: 19 meV/atom. The value obtained for the formation energy is -0.031 eV per atom.

a = 10.7359 Å, b = 2.8516 Å, c = 6.8474 Å
α = 90.00°, β = 106.14°, γ = 90.00°
Space group Cm (No. 8)
Unique sites:
1 Ag 0.0000 0.0000 0.0000
2 Ag 0.1659 0.5000 0.3320
3 Au 0.0546 0.0000 0.6101
4 Au 0.2212 0.5000 0.9461
5 Au 0.3319 0.0000 0.6662
6 Au 0.3892 0.0000 0.2766



[8]
Material: Mg2MnCr3S8
Method: DFT, GGA-PBEsol
State: relaxed

Values from the calculation:
The uncorrected formation energy is -19.48 kcal/mol of atoms.

a = 7.1353 Å, b = 7.1353 Å, c = 17.3219 Å
α = 90.00°, β = 90.00°, γ = 120.00°
Space group R-3m (No. 166, hexagonal axes)
Unique sites:
1 Mg 0.0000 0.0000 0.1237
2 Mn 0.0000 0.0000 0.5000
3 Cr 0.0000 0.5000 0.0000
4 S 0.0000 0.0000 0.2635
5 S 0.0360 0.5180 0.2551



| no. | energy (eV per cell) |
| --- | --- |
| 1 | -57.60 |
| 2 | -16.99 |
| 3 | -90.80 |
| 4 | -11.56 |
| 5 | -22.60 |
| 6 | -8.94 |
| 7 | -45.01 |
| 8 | -272.46 |